Entry 1:
{"formula": "SrH16O10", "functional": "GGA-PBE", "state": "relaxed", "n_ef_per_ev_atom": 0.000, "magmom_total_mub_per_fu": 0.1, "polymorph_energy_mev_per_atom": 17.7, "sg": "P1 (1)", "lattice_angstrom": [[6.226, 0.000, 0.000], [-0.014, 6.272, 0.000], [-1.465, -0.032, 11.329]], "species": ["Sr", "Sr", "H", "H", "H", "H", "H", "H", "H", "H", "H", "H", "H", "H", "H", "H", "H", "H", "H", "H", "H", "H", "H", "H", "H", "H", "H", "H", "H", "H", "H", "H", "H", "H", "O", "O", "O", "O", "O", "O", "O", "O", "O", "O", "O", "O", "O", "O", "O", "O", "O", "O", "O", "O"], "fractional_positions": [[0.000, 0.000, 0.000], [0.129, 0.002, 0.498], [0.046, 0.437, 0.349], [0.048, 0.307, 0.717], [0.088, 0.431, 0.150], [0.185, 0.553, 0.626], [0.241, 0.387, 0.892], [0.262, 0.815, 0.776], [0.268, 0.747, 0.278], [0.316, 0.386, 0.107], [0.328, 0.198, 0.281], [0.363, 0.711, 0.894], [0.378, 0.620, 0.389], [0.419, 0.723, 0.103], [0.423, 0.619, 0.607], [0.481, 0.960, 0.145], [0.485, 0.288, 0.390], [0.503, 0.021, 0.876], [0.533, 0.135, 0.717], [0.550, 0.274, 0.602], [0.571, 0.268, 0.895], [0.648, 0.286, 0.107], [0.650, 0.963, 0.351], [0.690, 0.613, 0.886], [0.712, 0.727, 0.393], [0.721, 0.958, 0.633], [0.750, 0.617, 0.106], [0.766, 0.715, 0.606], [0.803, 0.201, 0.218], [0.817, 0.390, 0.392], [0.821, 0.735, 0.788], [0.861, 0.746, 0.216], [0.878, 0.385, 0.606], [0.994, 0.454, 0.872], [0.028, 0.323, 0.629], [0.090, 0.327, 0.868], [0.190, 0.313, 0.140], [0.237, 0.689, 0.354], [0.282, 0.681, 0.627], [0.289, 0.849, 0.861], [0.357, 0.860, 0.132], [0.406, 0.153, 0.359], [0.481, 0.496, 0.929], [0.498, 0.129, 0.629], [0.518, 0.501, 0.061], [0.612, 0.504, 0.435], [0.625, 0.123, 0.870], [0.642, 0.499, 0.566], [0.726, 0.154, 0.141], [0.774, 0.863, 0.362], [0.835, 0.675, 0.869], [0.840, 0.850, 0.641], [0.892, 0.686, 0.140], [0.945, 0.318, 0.360]]}


Entry 2:
{"formula": "Ba2SmTcN4", "functional": "GGA-PBE", "state": "relaxed", "n_ef_per_ev_atom": 0.600, "raw_formation_energy_ev_per_atom": -0.2653, "magmom_total_mub_per_fu": 0.0, "sg": "Fddd (70)", "lattice_angstrom": [[0.000, 6.049, 10.674], [3.029, 0.000, 10.674], [3.029, 6.049, 0.000]], "species": ["Ba", "Ba", "Ba", "Ba", "Sm", "Sm", "Tc", "Tc", "N", "N", "N", "N", "N", "N", "N", "N"], "fractional_positions": [[0.063, 0.063, 0.687], [0.313, 0.313, 0.937], [0.687, 0.687, 0.063], [0.937, 0.937, 0.313], [0.125, 0.125, 0.125], [0.875, 0.875, 0.875], [0.375, 0.375, 0.375], [0.625, 0.625, 0.625], [0.045, 0.620, 0.520], [0.314, 0.520, 0.620], [0.380, 0.955, 0.686], [0.480, 0.686, 0.955], [0.520, 0.314, 0.045], [0.620, 0.045, 0.314], [0.686, 0.480, 0.380], [0.955, 0.380, 0.480]]}


Entry 3:
{"formula": "HfUTaOs", "functional": "GGA-PBE", "state": "relaxed", "n_ef_per_ev_atom": 1.405, "formation_enthalpy_0k_ev_per_atom": 0.121, "magmom_total_mub_per_fu": 1.0, "sg": "F-43m (216)", "lattice_angstrom": [[0.000, 3.326, 3.326], [3.326, 0.000, 3.326], [3.326, 3.326, 0.000]], "species": ["Hf", "U", "Ta", "Os"], "fractional_positions": [[0.000, 0.000, 0.000], [0.250, 0.250, 0.250], [0.500, 0.500, 0.500], [0.750, 0.750, 0.750]]}


Entry 4:
{"formula": "Li2Al8Pd", "functional": "GGA-PBE", "state": "relaxed", "n_ef_per_ev_atom": 0.220, "formation_enthalpy_0k_ev_per_atom": -0.239, "magmom_total_mub_per_fu": 0.0, "polymorph_energy_mev_per_atom": 0.0, "sg": "P4/mmm (123)", "lattice_angstrom": [[4.119, 0.000, 0.000], [0.000, 4.119, 0.000], [0.000, 0.000, 10.828]], "species": ["Li", "Li", "Al", "Al", "Al", "Al", "Al", "Al", "Al", "Al", "Pd"], "fractional_positions": [[0.000, 0.000, 0.182], [0.000, 0.000, 0.818], [0.000, 0.500, 0.000], [0.000, 0.500, 0.362], [0.000, 0.500, 0.638], [0.500, 0.000, 0.000], [0.500, 0.000, 0.362], [0.500, 0.000, 0.638], [0.500, 0.500, 0.186], [0.500, 0.500, 0.814], [0.000, 0.000, 0.500]]}


Entry 5:
{"formula": "TePt4Cl", "functional": "GGA-PBE", "state": "relaxed", "n_ef_per_ev_atom": 0.588, "raw_formation_energy_ev_per_atom": 0.3414, "magmom_total_mub_per_fu": 0.0, "sg": "F-43m (216)", "lattice_angstrom": [[0.000, 3.817, 3.817], [3.817, 0.000, 3.817], [3.817, 3.817, 0.000]], "species": ["Te", "Pt", "Pt", "Pt", "Pt", "Cl"], "fractional_positions": [[0.000, 0.000, 0.000], [0.375, 0.375, 0.375], [0.375, 0.375, 0.876], [0.375, 0.876, 0.375], [0.876, 0.375, 0.375], [0.750, 0.750, 0.750]]}


Entry 6:
{"formula": "Pu3Fe2Sn3", "functional": "GGA-PBE", "state": "relaxed", "n_ef_per_ev_atom": 2.410, "formation_enthalpy_0k_ev_per_atom": -0.277, "magmom_total_mub_per_fu": 13.4, "sg": "C2/m (12)", "lattice_angstrom": [[8.101, -2.307, 0.000], [8.101, 2.307, 0.000], [-0.768, 0.000, 4.741]], "species": ["Pu", "Pu", "Pu", "Fe", "Fe", "Sn", "Sn", "Sn"], "fractional_positions": [[0.000, 0.000, 0.000], [0.166, 0.166, 0.579], [0.834, 0.834, 0.421], [0.213, 0.213, 0.091], [0.787, 0.787, 0.909], [0.364, 0.364, 0.928], [0.500, 0.500, 0.500], [0.636, 0.636, 0.072]]}


Entry 7:
{"formula": "Ta2FeSe", "functional": "GGA-PBE", "state": "relaxed", "n_ef_per_ev_atom": 0.641, "raw_formation_energy_ev_per_atom": 0.0666, "magmom_total_mub_per_fu": 0.0, "sg": "P2/m (10)", "lattice_angstrom": [[3.050, 0.000, 0.000], [0.000, 3.685, 0.000], [-1.203, 0.000, 5.671]], "species": ["Ta", "Ta", "Fe", "Se"], "fractional_positions": [[0.029, 0.000, 0.272], [0.971, 0.000, 0.728], [0.500, 0.500, 0.500], [0.500, 0.500, 0.000]]}


Entry 8:
{"formula": "Rb3Nd2ZrSe6", "functional": "GGA-PBE", "state": "relaxed", "n_ef_per_ev_atom": 0.408, "raw_formation_energy_ev_per_atom": -1.5608, "magmom_total_mub_per_fu": 0.0, "sg": "C2/m (12)", "lattice_angstrom": [[3.664, -6.348, 0.000], [3.664, 6.348, 0.000], [-2.452, 0.000, 8.047]], "species": ["Rb", "Rb", "Rb", "Nd", "Nd", "Zr", "Se", "Se", "Se", "Se", "Se", "Se"], "fractional_positions": [[0.000, 0.000, 0.000], [0.329, 0.671, 0.000], [0.671, 0.329, 0.000], [0.166, 0.834, 0.500], [0.834, 0.166, 0.500], [0.500, 0.500, 0.500], [0.121, 0.434, 0.301], [0.254, 0.254, 0.700], [0.434, 0.121, 0.301], [0.566, 0.879, 0.699], [0.746, 0.746, 0.300], [0.879, 0.566, 0.699]]}


Entry 9:
{"formula": "Sr4DyTh3As8", "functional": "GGA-PBE", "state": "relaxed", "n_ef_per_ev_atom": 0.671, "formation_enthalpy_0k_ev_per_atom": -1.314, "magmom_total_mub_per_fu": 0.0, "sg": "R-3m (166)", "lattice_angstrom": [[4.342, 2.507, 7.204], [-4.342, 2.507, 7.204], [0.000, -5.014, 7.204]], "species": ["Sr", "Sr", "Sr", "Sr", "Dy", "Th", "Th", "Th", "As", "As", "As", "As", "As", "As", "As", "As"], "fractional_positions": [[0.000, 0.000, 0.000], [0.000, 0.500, 0.500], [0.500, 0.000, 0.500], [0.500, 0.500, 0.000], [0.500, 0.500, 0.500], [0.000, 0.000, 0.500], [0.000, 0.500, 0.000], [0.500, 0.000, 0.000], [0.242, 0.242, 0.242], [0.244, 0.741, 0.741], [0.259, 0.259, 0.756], [0.259, 0.756, 0.259], [0.741, 0.244, 0.741], [0.741, 0.741, 0.244], [0.756, 0.259, 0.259], [0.758, 0.758, 0.758]]}


Entry 10:
{"formula": "Nd6SiO12", "functional": "GGA-PBE", "state": "relaxed", "n_ef_per_ev_atom": 0.620, "raw_formation_energy_ev_per_atom": -2.9765, "magmom_total_mub_per_fu": 2.1, "sg": "R-3 (148)", "lattice_angstrom": [[5.063, 2.923, 3.202], [-5.063, 2.923, 3.202], [0.000, -5.847, 3.202]], "species": ["Nd", "Nd", "Nd", "Nd", "Nd", "Nd", "Si", "O", "O", "O", "O", "O", "O", "O", "O", "O", "O", "O", "O"], "fractional_positions": [[0.106, 0.798, 0.641], [0.202, 0.359, 0.894], [0.359, 0.894, 0.202], [0.641, 0.106, 0.798], [0.798, 0.641, 0.106], [0.894, 0.202, 0.359], [0.500, 0.500, 0.500], [0.056, 0.905, 0.323], [0.095, 0.677, 0.944], [0.228, 0.435, 0.528], [0.323, 0.056, 0.905], [0.435, 0.528, 0.228], [0.472, 0.772, 0.565], [0.528, 0.228, 0.435], [0.565, 0.472, 0.772], [0.677, 0.944, 0.095], [0.772, 0.565, 0.472], [0.905, 0.323, 0.056], [0.944, 0.095, 0.677]]}


Entry 11:
{"formula": "Ba2Ag2Pb", "functional": "GGA-PBE", "state": "relaxed", "n_ef_per_ev_atom": 0.002, "formation_enthalpy_0k_ev_per_atom": -0.249, "magmom_total_mub_per_fu": 0.0, "polymorph_energy_mev_per_atom": 73.1, "sg": "I4/mmm (139)", "lattice_angstrom": [[-3.276, 3.276, 4.241], [3.276, -3.276, 4.241], [3.276, 3.276, -4.241]], "species": ["Ba", "Ba", "Ag", "Ag", "Pb"], "fractional_positions": [[0.250, 0.750, 0.500], [0.750, 0.250, 0.500], [0.156, 0.156, 0.000], [0.844, 0.844, 0.000], [0.500, 0.500, 0.000]]}


Entry 12:
{"formula": "Ba2NaAg6Sn", "functional": "GGA-PBE", "state": "relaxed", "n_ef_per_ev_atom": 0.489, "formation_enthalpy_0k_ev_per_atom": 0.097, "magmom_total_mub_per_fu": 0.0, "sg": "Fm-3m (225)", "lattice_angstrom": [[0.000, 5.344, 5.344], [5.344, 0.000, 5.344], [5.344, 5.344, 0.000]], "species": ["Ba", "Ba", "Na", "Ag", "Ag", "Ag", "Ag", "Ag", "Ag", "Sn"], "fractional_positions": [[0.250, 0.250, 0.250], [0.750, 0.750, 0.750], [0.000, 0.000, 0.000], [0.247, 0.247, 0.753], [0.247, 0.753, 0.247], [0.247, 0.753, 0.753], [0.753, 0.247, 0.247], [0.753, 0.247, 0.753], [0.753, 0.753, 0.247], [0.500, 0.500, 0.500]]}